Entry 1:
Computed, not measured: a geometry-optimized SmTlGe structure at the GGA-PBE level of DFT.

## Properties
**Energy above the most stable polymorph in this dataset**: 0 meV/atom
**Energy relative to the elements**: -0.41 eV per atom

```
data_SmTlGe
_cell_length_a 4.4377
_cell_length_b 4.4377
_cell_length_c 4.6992
_cell_angle_alpha 90.00
_cell_angle_beta 90.00
_cell_angle_gamma 120.00
_space_group_name_H-M_alt 'P 3 m 1'
_space_group_IT_number 156
loop_
_space_group_symop_operation_xyz
'x,y,z'
'-y,x-y,z'
'-x+y,-x,z'
'-y,-x,z'
'-x+y,y,z'
'x,x-y,z'
loop_
_atom_site_label
_atom_site_fract_x
_atom_site_fract_y
_atom_site_fract_z
Sm1 0.0000 0.0000 0.0000
Tl1 0.3333 0.6667 0.4222
Ge1 0.6667 0.3333 0.6868
```

Entry 2:
Computed, not measured: a geometry-optimized H2SBr structure at the GGA-PBE level of DFT.

## Properties
**Energy above the most stable polymorph in this dataset**: 0 meV/atom

```
data_H2SBr
_cell_length_a 5.109
_cell_length_b 10.978
_cell_length_c 7.039
_cell_angle_alpha 90.00
_cell_angle_beta 90.00
_cell_angle_gamma 90.00
_space_group_name_H-M_alt 'P n a 21'
_space_group_IT_number 33
loop_
_space_group_symop_operation_xyz
'x,y,z'
'-x,-y,z+1/2'
'-x+1/2,y+1/2,z+1/2'
'x+1/2,-y+1/2,z'
loop_
_atom_site_label
_atom_site_fract_x
_atom_site_fract_y
_atom_site_fract_z
H1 0.036 0.077 0.000
H2 0.146 0.809 0.331
S1 0.055 0.111 0.815
Br1 0.156 0.272 0.348
```

Entry 3:
Computed, not measured: a geometry-optimized ThH10Ru3 structure at the GGA-PBE level of DFT.

```
data_ThH10Ru3
_cell_length_a 9.420
_cell_length_b 9.420
_cell_length_c 9.420
_cell_angle_alpha 90.00
_cell_angle_beta 90.00
_cell_angle_gamma 90.00
_space_group_name_H-M_alt 'F m -3 m'
_space_group_IT_number 225
_space_group_name_Hall '-F 4 2 3'
loop_
_atom_site_label
_atom_site_fract_x
_atom_site_fract_y
_atom_site_fract_z
Th1 0.250 0.250 0.250
H1 0.000 0.165 0.165
H2 0.103 0.103 0.397
Ru1 0.000 0.000 0.263
```

Entry 4:
Computed, not measured: a geometry-optimized ScPa2SiN6 structure at the GGA-PBE level of DFT.

## Properties
**Uncorrected formation energy**: -10.86 eV/f.u.

```
data_ScPa2SiN6
_cell_length_a 5.180
_cell_length_b 5.180
_cell_length_c 4.846
_cell_angle_alpha 90.00
_cell_angle_beta 90.00
_cell_angle_gamma 90.00
_space_group_name_H-M_alt 'P 4 m m'
_space_group_IT_number 99
loop_
_space_group_symop_operation_xyz
'x,y,z'
'-y,x,z'
'-x,-y,z'
'y,-x,z'
'-x,y,z'
'y,x,z'
'x,-y,z'
'-y,-x,z'
loop_
_atom_site_label
_atom_site_fract_x
_atom_site_fract_y
_atom_site_fract_z
Sc1 0.000 0.000 0.000
Pa1 0.000 0.500 0.432
Si1 0.500 0.500 0.019
N1 0.000 0.000 0.570
N2 0.266 0.266 0.156
N3 0.500 0.500 0.654
```

Entry 5:
Computed, not measured: a geometry-optimized Ce2CuSi4Rh3 structure at the GGA-PBE level of DFT.

## Properties
**Uncorrected formation energy**: -8.89 eV/f.u.

```
data_Ce2CuSi4Rh3
_cell_length_a 4.162
_cell_length_b 4.162
_cell_length_c 9.830
_cell_angle_alpha 90.00
_cell_angle_beta 90.00
_cell_angle_gamma 90.00
_space_group_name_H-M_alt 'P -4 m 2'
_space_group_IT_number 115
loop_
_space_group_symop_operation_xyz
'x,y,z'
'y,-x,-z'
'-x,-y,z'
'-y,x,-z'
'-x,y,z'
'-y,-x,-z'
'x,-y,z'
'y,x,-z'
loop_
_atom_site_label
_atom_site_fract_x
_atom_site_fract_y
_atom_site_fract_z
Ce1 0.000 0.500 0.248
Cu1 0.000 0.000 0.500
Si1 0.000 0.000 0.000
Si2 0.000 0.500 0.630
Si3 0.500 0.500 0.000
Rh1 0.000 0.500 0.874
Rh2 0.500 0.500 0.500
```

Per-record E_tot, eV per cell: -12.92 -51.75 -560.84 -91.55 -68.60